Compound: SnTeSe
Source: Alexandria
Functional: PBE-GGA
Structure: relaxed

Cell and atoms, written as CIF:
```
data_SnTeSe
_symmetry_space_group_name_H-M 'P 1'
_symmetry_Int_Tables_number 1
_symmetry_space_group_name_Hall 'P 1'
_cell_length_a 3.993
_cell_length_b 3.993
_cell_length_c 6.887
_cell_angle_alpha 90.00
_cell_angle_beta 90.00
_cell_angle_gamma 120.00
loop_
_atom_site_label
_atom_site_fract_x
_atom_site_fract_y
_atom_site_fract_z
Sn1 0.667 0.333 0.320
Se1 0.000 0.000 0.092
Te1 0.333 0.667 0.588
```

Properties
- magnetic moment (μB/f.u.) = 0.0
- E above lowest polymorph (meV/atom) = 36
- E_form (uncorrected) (eV per atom) = -0.189